TaFeNiGe | PBE-GGA | optimized geometry

SG: No. 216
Relative energy among the computed polymorphs, meV per atom: 0

Cell lengths 4.2203, 4.2203, 4.2203 Å; angles 60.00, 60.00, 60.00 degrees
Fractional positions:
Fe  0.7500  0.7500  0.7500
Ge  0.0000  0.0000  0.0000
Ni  0.2500  0.2500  0.2500
Ta  0.5000  0.5000  0.5000